P | # BiAsPtO, relaxed, DFT PBE
# volume	160.7	Å³/cell
# M_tot	0.000	μB/atom
data_BiAsPtO
_space_group_name_H-M_alt 'P m c 21'
_space_group_IT_number 26
_cell_length_a 4.141
_cell_length_b 5.371
_cell_length_c 7.224
_cell_angle_alpha 90.00
_cell_angle_beta 90.00
_cell_angle_gamma 90.00
loop_
_space_group_symop_operation_xyz
'x,y,z'
'-x,-y,z+1/2'
'-x,y,z'
'x,-y,z+1/2'
loop_
_atom_site_label
_atom_site_type_symbol
_atom_site_fract_x
_atom_site_fract_y
_atom_site_fract_z
Bi1 Bi 0.000 0.124 0.000
As1 As 0.500 0.275 0.752
Pt1 Pt 0.500 0.318 0.413
O1 O 0.000 0.255 0.369



Q | # BiAsPtO, relaxed, DFT PBE
# volume	147.9	Å³/cell
# M_tot	0.001	μB/atom
data_BiAsPtO
_space_group_name_H-M_alt 'P 4/n m m'
_space_group_IT_number 129
_cell_length_a 4.136
_cell_length_b 4.136
_cell_length_c 8.647
_cell_angle_alpha 90.00
_cell_angle_beta 90.00
_cell_angle_gamma 90.00
loop_
_space_group_symop_operation_xyz
'x,y,z'
'-x,-y,-z'
'-y+1/2,x,z'
'y+1/2,-x,-z'
'-x+1/2,-y+1/2,z'
'x+1/2,y+1/2,-z'
'y,-x+1/2,z'
'-y,x+1/2,-z'
'x+1/2,-y,-z'
'-x+1/2,y,z'
'-y,-x,-z'
'y,x,z'
'-x,y+1/2,-z'
'x,-y+1/2,z'
'y+1/2,x+1/2,-z'
'-y+1/2,-x+1/2,z'
loop_
_atom_site_label
_atom_site_type_symbol
_atom_site_fract_x
_atom_site_fract_y
_atom_site_fract_z
Bi1 Bi 0.250 0.250 0.139
As1 As 0.250 0.250 0.668
Pt1 Pt 0.250 0.750 0.500
O1 O 0.250 0.750 0.000



Least stable of them? P.



P | # AcPaNO, relaxed, DFT PBE
# volume	183.4	Å³/cell
# M_tot	0.265	μB/atom
data_AcPaNO
_space_group_name_H-M_alt 'P m c 21'
_space_group_IT_number 26
_cell_length_a 4.056
_cell_length_b 6.965
_cell_length_c 6.492
_cell_angle_alpha 90.00
_cell_angle_beta 90.00
_cell_angle_gamma 90.00
loop_
_space_group_symop_operation_xyz
'x,y,z'
'-x,-y,z+1/2'
'-x,y,z'
'x,-y,z+1/2'
loop_
_atom_site_label
_atom_site_type_symbol
_atom_site_fract_x
_atom_site_fract_y
_atom_site_fract_z
Ac1 Ac 0.000 0.160 0.000
Pa1 Pa 0.500 0.341 0.550
N1 N 0.500 0.372 0.894
O1 O 0.000 0.197 0.596



Q | # AcPaNO, relaxed, DFT PBE
# volume	165.5	Å³/cell
# M_tot	0.314	μB/atom
data_AcPaNO
_space_group_name_H-M_alt 'P 4/n m m'
_space_group_IT_number 129
_cell_length_a 4.937
_cell_length_b 4.937
_cell_length_c 6.790
_cell_angle_alpha 90.00
_cell_angle_beta 90.00
_cell_angle_gamma 90.00
loop_
_space_group_symop_operation_xyz
'x,y,z'
'-x,-y,-z'
'-y+1/2,x,z'
'y+1/2,-x,-z'
'-x+1/2,-y+1/2,z'
'x+1/2,y+1/2,-z'
'y,-x+1/2,z'
'-y,x+1/2,-z'
'x+1/2,-y,-z'
'-x+1/2,y,z'
'-y,-x,-z'
'y,x,z'
'-x,y+1/2,-z'
'x,-y+1/2,z'
'y+1/2,x+1/2,-z'
'-y+1/2,-x+1/2,z'
loop_
_atom_site_label
_atom_site_type_symbol
_atom_site_fract_x
_atom_site_fract_y
_atom_site_fract_z
Ac1 Ac 0.250 0.750 0.000
Pa1 Pa 0.250 0.250 0.457
N1 N 0.250 0.250 0.134
O1 O 0.250 0.750 0.500



Least stable of them? Q.



P | # Cu4Ag, relaxed, DFT PBE
# volume	130.6	Å³/cell
data_Cu4Ag
_space_group_name_H-M_alt 'P 1 2/m 1'
_space_group_IT_number 10
_cell_length_a 4.534
_cell_length_b 2.681
_cell_length_c 10.801
_cell_angle_alpha 90.00
_cell_angle_beta 95.99
_cell_angle_gamma 90.00
loop_
_space_group_symop_operation_xyz
'x,y,z'
'-x,-y,-z'
'-x,y,-z'
'x,-y,z'
loop_
_atom_site_label
_atom_site_type_symbol
_atom_site_fract_x
_atom_site_fract_y
_atom_site_fract_z
Cu1 Cu 0.000 0.000 0.000
Cu2 Cu 0.107 0.500 0.812
Cu3 Cu 0.279 0.500 0.381
Cu4 Cu 0.389 0.000 0.190
Cu5 Cu 0.500 0.500 0.000
Ag1 Ag 0.222 0.000 0.601



Q | # Cu4Ag, relaxed, DFT PBE
# volume	129.9	Å³/cell
data_Cu4Ag
_space_group_name_H-M_alt 'P m m m'
_space_group_IT_number 47
_cell_length_a 2.685
_cell_length_b 3.569
_cell_length_c 13.559
_cell_angle_alpha 90.00
_cell_angle_beta 90.00
_cell_angle_gamma 90.00
loop_
_space_group_symop_operation_xyz
'x,y,z'
'-x,-y,-z'
'-x,-y,z'
'x,y,-z'
'x,-y,-z'
'-x,y,z'
'-x,y,-z'
'x,-y,z'
loop_
_atom_site_label
_atom_site_type_symbol
_atom_site_fract_x
_atom_site_fract_y
_atom_site_fract_z
Cu1 Cu 0.000 0.000 0.000
Cu2 Cu 0.000 0.000 0.187
Cu3 Cu 0.500 0.500 0.093
Cu4 Cu 0.500 0.500 0.278
Cu5 Cu 0.500 0.500 0.500
Ag1 Ag 0.000 0.000 0.390



Least stable of them? P.